No. 1
# HfSc9In2 GGA-PBE relaxed
data_HfSc9In2
_chemical_formula_sum 'Hf1 Sc9 In2'
_symmetry_space_group_name_H-M 'P 1'
_symmetry_Int_Tables_number 1
_cell_length_a 4.518
_cell_length_b 4.518
_cell_length_c 13.702
_cell_angle_alpha 90.00
_cell_angle_beta 90.00
_cell_angle_gamma 90.00
loop_
_symmetry_equiv_pos_as_xyz
'x,y,z'
loop_
_atom_site_label
_atom_site_fract_x
_atom_site_fract_y
_atom_site_fract_z
Sc1 0.500 0.500 0.663
Sc2 0.000 0.500 0.500
Sc3 0.500 0.000 0.835
Sc4 0.500 0.000 0.165
Hf1 0.000 0.000 0.000
Sc5 0.500 0.500 0.337
Sc6 0.500 0.000 0.500
Sc7 0.000 0.500 0.835
In1 0.000 0.000 0.665
Sc8 0.000 0.500 0.165
Sc9 0.500 0.500 0.000
In2 0.000 0.000 0.335
# DOS(E_F) in states/eV per atom: 1.211
# Electronic total energy in eV per atom: -6.211
# Formation energy in meV per atom: -176



No. 2
# Tc3PtS GGA-PBE relaxed
data_Tc3PtS
_chemical_formula_sum 'Tc3 Pt1 S1'
_symmetry_space_group_name_H-M 'P 1'
_symmetry_Int_Tables_number 1
_cell_length_a 4.927
_cell_length_b 4.927
_cell_length_c 4.927
_cell_angle_alpha 90.00
_cell_angle_beta 90.00
_cell_angle_gamma 90.00
loop_
_symmetry_equiv_pos_as_xyz
'x,y,z'
loop_
_atom_site_label
_atom_site_fract_x
_atom_site_fract_y
_atom_site_fract_z
Tc1 0.500 0.000 0.000
Tc2 0.000 0.500 0.000
Pt1 0.000 0.000 0.000
S1 0.500 0.500 0.500
Tc3 0.000 0.000 0.500
# Energy above the most stable polymorph in this dataset in meV per atom: 1640
# Energy relative to the elements, uncorrected in eV/atom: 2.112
# DOS(E_F) in states/eV per atom: 2.719
# Electronic total energy in eV per atom: -6.142



No. 3
# AcTb3Dy2Y6 GGA-PBE relaxed
data_AcTb3Dy2Y6
_chemical_formula_sum 'Ac1 Tb3 Dy2 Y6'
_symmetry_space_group_name_H-M 'P 1'
_symmetry_Int_Tables_number 1
_cell_length_a 6.234
_cell_length_b 6.234
_cell_length_c 11.903
_cell_angle_alpha 94.99
_cell_angle_beta 94.99
_cell_angle_gamma 119.97
loop_
_symmetry_equiv_pos_as_xyz
'x,y,z'
loop_
_atom_site_label
_atom_site_fract_x
_atom_site_fract_y
_atom_site_fract_z
Dy1 0.333 0.667 0.000
Tb1 0.167 0.833 0.500
Y1 0.579 0.915 0.746
Y2 0.421 0.085 0.254
Y3 0.915 0.579 0.746
Tb2 0.833 0.167 0.500
Y4 0.251 0.251 0.746
Ac1 0.000 0.000 0.000
Y5 0.085 0.421 0.254
Dy2 0.667 0.333 0.000
Y6 0.749 0.749 0.254
Tb3 0.500 0.500 0.500
# DOS(E_F) in states/eV per atom: 1.357
# Electronic total energy in eV per atom: -5.470
# Formation energy in meV per atom: 29



No. 4
# Tb3Ho5Er4 GGA-PBE relaxed
data_Tb3Ho5Er4
_chemical_formula_sum 'Tb3 Ho5 Er4'
_symmetry_space_group_name_H-M 'P 1'
_symmetry_Int_Tables_number 1
_cell_length_a 5.817
_cell_length_b 8.450
_cell_length_c 9.531
_cell_angle_alpha 105.93
_cell_angle_beta 72.23
_cell_angle_gamma 69.87
loop_
_symmetry_equiv_pos_as_xyz
'x,y,z'
loop_
_atom_site_label
_atom_site_fract_x
_atom_site_fract_y
_atom_site_fract_z
Tb1 0.522 0.686 0.269
Er1 0.141 0.779 0.940
Tb2 0.000 0.500 0.500
Ho1 0.214 0.459 0.113
Ho2 0.375 0.051 0.199
Ho3 0.500 0.500 0.500
Ho4 0.786 0.541 0.887
Er2 0.166 0.047 0.622
Er3 0.859 0.221 0.060
Tb3 0.478 0.314 0.731
Er4 0.834 0.953 0.378
Ho5 0.625 0.949 0.801
# Energy above the most stable polymorph in this dataset in meV per atom: 228
# DOS(E_F) in states/eV per atom: 1.608
# Electronic total energy in eV per atom: -4.338
# Formation energy in meV per atom: 248